Computed, not measured: crystalline EuIn2Au at its relaxed geometry at the PBE level of DFT.

It has space group Fm-3m (No. 225), with a = 7.288 Å, b = 7.288 Å, c = 7.288 Å, α = 90.00°, β = 90.00° and γ = 90.00°. The inequivalent atoms are Eu at (0.000, 0.000, 0.000), In at (0.250, 0.250, 0.250) and Au at (0.000, 0.000, 0.500).

Its density of states at the Fermi level is 0.69 states/eV/atom. The calculation puts the theoretical density at 9.9 Mg/m³. Its volume is 96.8 Å³/f.u. The raw total energy is -5.1058 eV/atom.

***

Computed, not measured: crystalline EuInAu2 at its relaxed geometry at the PBE level of DFT.

It has space group Fm-3m (No. 225), with a = 7.175 Å, b = 7.175 Å, c = 7.175 Å, α = 90.00°, β = 90.00° and γ = 90.00°. The inequivalent atoms are Eu at (0.000, 0.000, 0.000), In at (0.000, 0.000, 0.500) and Au at (0.250, 0.250, 0.250).

Its density of states at the Fermi level is 3.02 states/eV/atom. The calculation puts the theoretical density at 11.9 Mg/m³. Its volume is 92.3 Å³/f.u. The raw total energy is -5.4783 eV/atom.

***

Computed, not measured: crystalline EuIn2Au at its relaxed geometry at the PBE level of DFT.

It has space group R-3m (No. 166, hexagonal axes), with a = 4.7006 Å, b = 4.7006 Å, c = 16.8363 Å, α = 90.00°, β = 90.00° and γ = 120.00°. The inequivalent atoms are Eu at (0.0000, 0.0000, 0.0000), In at (0.0000, 0.0000, 0.2208) and Au at (0.0000, 0.0000, 0.5000).

Its density of states at the Fermi level is 2.82 states/eV/atom. The calculation puts the theoretical density at 8.9 Mg/m³. Its volume is 107.4 Å³/f.u. The raw total energy is -5.1676 eV/atom.

***

What is the raw total energy in the first record? -5.1058 eV/atom